Material: BeFeSb2O
Method: DFT, PBE+U
State: relaxed

Values from the calculation:
Density of states at the Fermi level ... 1.14 states/eV/cell
M_tot ... 0.06 μB/cell
Energy ... -3.562 eV per atom

a = 4.6892 Å, b = 4.6892 Å, c = 3.9155 Å
α = 90.00°, β = 90.00°, γ = 90.00°
Each line ends with the local moment (μB).
Fractional positions:
Sb1 0.0000 0.5000 0.0000  0.00
Sb2 0.5000 0.0000 0.0000  0.00
O1 0.5000 0.5000 0.5000  -0.05
Be1 0.0000 0.0000 0.5000  -0.01
Fe1 0.0000 0.0000 0.0000  0.17